Version w
Below is a relaxed structure of BeTeRh, with properties calculated at the PBE level.

The structure in extended XYZ format:
```
3
Lattice="3.2184 0.0000 0.0000 -1.6092 2.7872 0.0000 0.0000 0.0000 5.5732" Properties=species:S:1:pos:R:3 pbc="T T T"
Be 0.0000 0.0000 0.0000
Te 0.0000 1.8582 3.4448
Rh 1.6092 0.9291 1.4512
```

ρ: 7.96 g/cm³
Volume: 16.7 Å³ per atom
Crystal system: trigonal
DOS(E_F): 1.9 states/eV/cell

Version x
Below is a relaxed structure of BeTeRh, with properties calculated at the PBE level.

The structure in extended XYZ format:
```
3
Lattice="0.0000 2.9757 2.9757 2.9757 0.0000 2.9757 2.9757 2.9757 0.0000" Properties=species:S:1:pos:R:3 pbc="T T T"
Be 0.0000 0.0000 0.0000
Te 2.9757 2.9757 2.9757
Rh 1.4878 1.4878 1.4878
```

ρ: 7.55 g/cm³
Volume: 17.6 Å³ per atom
Crystal system: cubic
DOS(E_F): 1.3 states/eV/cell

version x takes first place; second place is 300 meV per atom up.

Version w
Below is a relaxed structure of Be2Te2Rh, with properties calculated at the PBE level.

The structure in extended XYZ format:
```
10
Lattice="6.7294 0.0000 0.0000 0.0000 6.7294 0.0000 0.0000 0.0000 3.6129" Properties=species:S:1:pos:R:3 pbc="T T T"
Be 0.8106 2.5541 0.0000
Be 2.5541 5.9188 0.0000
Be 4.1753 0.8106 0.0000
Be 5.9188 4.1753 0.0000
Te 1.2974 4.6621 1.8064
Te 2.0673 1.2974 1.8064
Te 4.6621 5.4320 1.8064
Te 5.4320 2.0673 1.8064
Rh 0.0000 0.0000 0.0000
Rh 3.3647 3.3647 0.0000
```

ρ: 7.64 g/cm³
Volume: 16.4 Å³ per atom
Crystal system: tetragonal
DOS(E_F): 4.3 states/eV/cell

Version x
Below is a relaxed structure of Be2Te2Rh, with properties calculated at the PBE level.

The structure in extended XYZ format:
```
5
Lattice="-2.5154 2.5154 3.5133 2.5154 -2.5154 3.5133 2.5154 2.5154 -3.5133" Properties=species:S:1:pos:R:3 pbc="T T T"
Be 0.0000 0.0000 1.1134
Be 0.0000 0.0000 5.9132
Te 2.5154 0.0000 1.7566
Te 0.0000 2.5154 1.7566
Rh 0.0000 0.0000 3.5133
```

ρ: 7.02 g/cm³
Volume: 17.8 Å³ per atom
Crystal system: tetragonal
DOS(E_F): 4.9 states/eV/cell

version w takes first place; second place is 188 meV per atom up.

Version w
Below is a relaxed structure of Be3TeRh, with properties calculated at the PBE level.

The structure in extended XYZ format:
```
5
Lattice="4.4865 0.0000 0.0000 0.0000 4.4865 0.0000 0.0000 0.0000 4.4865" Properties=species:S:1:pos:R:3 pbc="T T T"
Be 0.0000 0.0000 2.2432
Be 0.0000 2.2432 0.0000
Be 2.2432 0.0000 0.0000
Te 0.0000 0.0000 0.0000
Rh 2.2432 2.2432 2.2432
```

ρ: 4.74 g/cm³
Volume: 18.1 Å³ per atom
Crystal system: cubic
DOS(E_F): 3.6 states/eV/cell

Version x
Below is a relaxed structure of Be3TeRh, with properties calculated at the PBE level.

The structure in extended XYZ format:
```
5
Lattice="4.2934 0.0000 0.0000 0.0000 4.2934 0.0000 0.0000 0.0000 4.2934" Properties=species:S:1:pos:R:3 pbc="T T T"
Be 0.0000 0.0000 2.1467
Be 0.0000 2.1467 0.0000
Be 2.1467 0.0000 0.0000
Te 2.1467 2.1467 2.1467
Rh 0.0000 0.0000 0.0000
```

ρ: 5.40 g/cm³
Volume: 15.8 Å³ per atom
Crystal system: cubic
DOS(E_F): 2.2 states/eV/cell

version x takes first place; second place is 1128 meV per atom up.

Version w
Below is a relaxed structure of TiBe2Rh2, with properties calculated at the PBE level.

The structure in extended XYZ format:
```
10
Lattice="6.5121 0.0000 0.0000 0.0000 6.5121 0.0000 0.0000 0.0000 2.8099" Properties=species:S:1:pos:R:3 pbc="T T T"
Ti 0.0000 0.0000 0.0000
Ti 3.2561 3.2561 0.0000
Be 0.7694 2.4867 0.0000
Be 2.4867 5.7427 0.0000
Be 4.0255 0.7694 0.0000
Be 5.7427 4.0255 0.0000
Rh 1.1362 4.3922 1.4049
Rh 2.1199 1.1362 1.4049
Rh 4.3922 5.3759 1.4049
Rh 5.3759 2.1199 1.4049
```

ρ: 7.57 g/cm³
Volume: 11.9 Å³ per atom
Crystal system: tetragonal
DOS(E_F): 7.6 states/eV/cell

Version x
Below is a relaxed structure of TiBe2Rh2, with properties calculated at the PBE level.

The structure in extended XYZ format:
```
10
Lattice="6.6479 0.0000 0.0000 0.0000 6.6479 0.0000 0.0000 0.0000 2.7942" Properties=species:S:1:pos:R:3 pbc="T T T"
Ti 0.0000 0.0000 0.0000
Ti 3.3239 3.3239 0.0000
Be 0.9298 2.3942 1.3971
Be 2.3942 5.7181 1.3971
Be 4.2537 0.9298 1.3971
Be 5.7181 4.2537 1.3971
Rh 1.0198 4.3437 0.0000
Rh 2.3042 1.0198 0.0000
Rh 4.3437 5.6281 0.0000
Rh 5.6281 2.3042 0.0000
```

ρ: 7.31 g/cm³
Volume: 12.3 Å³ per atom
Crystal system: tetragonal
DOS(E_F): 4.8 states/eV/cell

version w takes first place; second place is 114 meV per atom up.

Version w
Below is a relaxed structure of BeTl2Rh2, with properties calculated at the PBE level.

The structure in extended XYZ format:
```
10
Lattice="6.2618 0.0000 0.0000 0.0000 6.2618 0.0000 0.0000 0.0000 4.4168" Properties=species:S:1:pos:R:3 pbc="T T T"
Be 0.0000 0.0000 0.0000
Be 3.1309 3.1309 0.0000
Tl 1.0470 2.0839 2.2084
Tl 2.0839 5.2148 2.2084
Tl 4.1778 1.0470 2.2084
Tl 5.2148 4.1778 2.2084
Rh 0.9783 4.1092 0.0000
Rh 2.1525 0.9783 0.0000
Rh 4.1092 5.2834 0.0000
Rh 5.2834 2.1525 0.0000
```

ρ: 11.96 g/cm³
Volume: 17.3 Å³ per atom
Crystal system: tetragonal
DOS(E_F): 4.4 states/eV/cell

Version x
Below is a relaxed structure of BeTl2Rh2, with properties calculated at the PBE level.

The structure in extended XYZ format:
```
5
Lattice="-1.8013 1.8013 7.9696 1.8013 -1.8013 7.9696 1.8013 1.8013 -7.9696" Properties=species:S:1:pos:R:3 pbc="T T T"
Be 0.0000 0.0000 0.0000
Tl 0.0000 0.0000 6.2917
Tl 0.0000 0.0000 9.6476
Rh 1.8013 0.0000 3.9848
Rh 0.0000 1.8013 3.9848
```

ρ: 10.01 g/cm³
Volume: 20.7 Å³ per atom
Crystal system: tetragonal
DOS(E_F): 5.3 states/eV/cell

Version y
Below is a relaxed structure of BeTl2Rh2, with properties calculated at the PBE level.

The structure in extended XYZ format:
```
10
Lattice="7.6115 0.0000 0.0000 0.0000 7.6115 0.0000 0.0000 0.0000 3.1867" Properties=species:S:1:pos:R:3 pbc="T T T"
Be 0.0000 0.0000 0.0000
Be 3.8057 3.8057 0.0000
Tl 1.1907 2.6150 0.0000
Tl 2.6150 6.4208 0.0000
Tl 4.9964 1.1907 0.0000
Tl 6.4208 4.9964 0.0000
Rh 1.0884 4.8942 1.5934
Rh 2.7173 1.0884 1.5934
Rh 4.8942 6.5230 1.5934
Rh 6.5230 2.7173 1.5934
```

ρ: 11.22 g/cm³
Volume: 18.5 Å³ per atom
Crystal system: tetragonal
DOS(E_F): 4.8 states/eV/cell

version w takes first place; second place is 491 meV per atom up.

Version w
Below is a relaxed structure of Be2TlRh, with properties calculated at the PBE level.

The structure in extended XYZ format:
```
4
Lattice="0.0000 2.9798 2.9798 2.9798 0.0000 2.9798 2.9798 2.9798 0.0000" Properties=species:S:1:pos:R:3 pbc="T T T"
Be 1.4899 1.4899 1.4899
Be 4.4697 4.4697 4.4697
Tl 0.0000 0.0000 0.0000
Rh 2.9798 2.9798 2.9798
```

ρ: 10.21 g/cm³
Volume: 13.2 Å³ per atom
Crystal system: cubic
DOS(E_F): 1.5 states/eV/cell

Version x
Below is a relaxed structure of Be2TlRh, with properties calculated at the PBE level.

The structure in extended XYZ format:
```
4
Lattice="1.5281 0.8822 7.5046 -1.5281 0.8822 7.5046 0.0000 -1.7645 7.5046" Properties=species:S:1:pos:R:3 pbc="T T T"
Be 0.0000 0.0000 5.2449
Be 0.0000 0.0000 17.2689
Tl 0.0000 0.0000 0.0000
Rh 0.0000 0.0000 11.2569
```

ρ: 8.90 g/cm³
Volume: 15.2 Å³ per atom
Crystal system: trigonal
DOS(E_F): 2.3 states/eV/cell

Version y
Below is a relaxed structure of Be2TlRh, with properties calculated at the PBE level.

The structure in extended XYZ format:
```
4
Lattice="2.9696 0.0000 0.0000 0.0000 2.9696 0.0000 0.0000 0.0000 6.6149" Properties=species:S:1:pos:R:3 pbc="T T T"
Be 0.0000 0.0000 1.1053
Be 0.0000 0.0000 5.5096
Tl 1.4848 1.4848 3.3075
Rh 1.4848 1.4848 0.0000
```

ρ: 9.26 g/cm³
Volume: 14.6 Å³ per atom
Crystal system: tetragonal
DOS(E_F): 1.2 states/eV/cell

Version z
Below is a relaxed structure of Be2TlRh, with properties calculated at the PBE level.

The structure in extended XYZ format:
```
4
Lattice="3.0342 0.0000 0.0000 0.0000 3.0342 0.0000 0.0000 0.0000 6.1181" Properties=species:S:1:pos:R:3 pbc="T T T"
Be 0.0000 0.0000 0.0000
Be 1.5171 1.5171 1.1706
Tl 1.5171 1.5171 4.2694
Rh 0.0000 0.0000 2.1489
```

ρ: 9.59 g/cm³
Volume: 14.1 Å³ per atom
Crystal system: tetragonal
DOS(E_F): 1.3 states/eV/cell

version y takes first place; second place is 129 meV per atom up.

Version w
Below is a relaxed structure of BeTl2Rh, with properties calculated at the PBE level.

The structure in extended XYZ format:
```
4
Lattice="1.6665 0.9621 7.9460 -1.6665 0.9621 7.9460 0.0000 -1.9243 7.9460" Properties=species:S:1:pos:R:3 pbc="T T T"
Be 0.0000 0.0000 0.0000
Tl 0.0000 0.0000 6.0321
Tl 0.0000 0.0000 17.8059
Rh 0.0000 0.0000 11.9190
```

ρ: 11.31 g/cm³
Volume: 19.1 Å³ per atom
Crystal system: trigonal
DOS(E_F): 2.7 states/eV/cell

Version x
Below is a relaxed structure of BeTl2Rh, with properties calculated at the PBE level.

The structure in extended XYZ format:
```
4
Lattice="-2.1299 2.1361 4.0106 2.1299 -2.1361 4.0106 2.1299 2.1361 -4.0106" Properties=species:S:1:pos:R:3 pbc="T T T"
Be 0.0000 0.0000 0.0000
Tl 2.1299 0.0000 2.0021
Tl 0.0000 2.1361 2.0086
Rh 0.0000 0.0000 4.0106
```

ρ: 11.85 g/cm³
Volume: 18.2 Å³ per atom
Crystal system: orthorhombic
DOS(E_F): 1.6 states/eV/cell

version x takes first place; second place is 33 meV per atom up.

Version w
Below is a relaxed structure of BeTl2Rh, with properties calculated at the PBE level.

The structure in extended XYZ format:
```
4
Lattice="3.1130 0.0000 0.0000 0.0000 3.1130 0.0000 0.0000 0.0000 8.4029" Properties=species:S:1:pos:R:3 pbc="T T T"
Be 0.0000 0.0000 0.0000
Tl 0.0000 0.0000 2.9022
Tl 1.5565 1.5565 6.0626
Rh 1.5565 1.5565 0.6670
```

ρ: 10.62 g/cm³
Volume: 20.4 Å³ per atom
Crystal system: tetragonal
DOS(E_F): 2.4 states/eV/cell

Version x
Below is a relaxed structure of BeTl2Rh, with properties calculated at the PBE level.

The structure in extended XYZ format:
```
4
Lattice="-2.0356 2.0356 4.4078 2.0356 -2.0356 4.4078 2.0356 2.0356 -4.4078" Properties=species:S:1:pos:R:3 pbc="T T T"
Be 0.0000 0.0000 0.0000
Tl 0.0000 0.0000 4.4078
Tl 0.0000 2.0356 2.2039
Rh 2.0356 0.0000 2.2039
```

ρ: 11.84 g/cm³
Volume: 18.3 Å³ per atom
Crystal system: tetragonal
DOS(E_F): 1.3 states/eV/cell

Version y
Below is a relaxed structure of BeTl2Rh, with properties calculated at the PBE level.

The structure in extended XYZ format:
```
4
Lattice="0.0000 3.3321 3.3321 3.3321 0.0000 3.3321 3.3321 3.3321 0.0000" Properties=species:S:1:pos:R:3 pbc="T T T"
Be 0.0000 0.0000 0.0000
Tl 1.6660 1.6660 1.6660
Tl 4.9981 4.9981 4.9981
Rh 3.3321 3.3321 3.3321
```

ρ: 11.69 g/cm³
Volume: 18.5 Å³ per atom
Crystal system: cubic
DOS(E_F): 1.5 states/eV/cell

version w takes first place; second place is 413 meV per atom up.

Version w
Below is a relaxed structure of BeTl2Rh, with properties calculated at the PBE level.

The structure in extended XYZ format:
```
4
Lattice="6.1907 -1.5471 0.0000 6.1907 1.5471 0.0000 -1.6010 0.0000 4.1911" Properties=species:S:1:pos:R:3 pbc="T T T"
Be 0.0000 0.0000 0.0000
Tl 6.2737 0.0000 2.4452
Tl 9.4475 0.0000 1.2804
Rh 3.1089 0.0000 3.6267
```

ρ: 10.77 g/cm³
Volume: 20.1 Å³ per atom
Crystal system: monoclinic
DOS(E_F): 0.9 states/eV/cell

Version x
Below is a relaxed structure of BeTl2Rh, with properties calculated at the PBE level.

The structure in extended XYZ format:
```
4
Lattice="3.5619 0.0000 0.0000 0.0000 3.5069 0.0000 -0.0072 0.0000 5.8421" Properties=species:S:1:pos:R:3 pbc="T T T"
Be 0.0000 0.0000 0.0000
Tl 1.7764 1.7534 1.4479
Tl 1.7782 1.7534 4.3943
Rh -0.0036 0.0000 2.9211
```

ρ: 11.85 g/cm³
Volume: 18.2 Å³ per atom
Crystal system: monoclinic
DOS(E_F): 3.1 states/eV/cell

version w takes first place; second place is 258 meV per atom up.

Version w
Below is a relaxed structure of Be2TlRh2, with properties calculated at the PBE level.

The structure in extended XYZ format:
```
10
Lattice="6.6863 0.0000 0.0000 0.0000 6.6863 0.0000 0.0000 0.0000 2.9343" Properties=species:S:1:pos:R:3 pbc="T T T"
Be 0.7995 2.5437 0.0000
Be 2.5437 5.8868 0.0000
Be 4.1426 0.7995 0.0000
Be 5.8868 4.1426 0.0000
Tl 0.0000 0.0000 0.0000
Tl 3.3431 3.3431 0.0000
Rh 1.0847 4.4278 1.4672
Rh 2.2585 1.0847 1.4672
Rh 4.4278 5.6016 1.4672
Rh 5.6016 2.2585 1.4672
```

ρ: 10.84 g/cm³
Volume: 13.1 Å³ per atom
Crystal system: tetragonal
DOS(E_F): 4.7 states/eV/cell

Version x
Below is a relaxed structure of Be2TlRh2, with properties calculated at the PBE level.

The structure in extended XYZ format:
```
5
Lattice="-1.7947 1.7947 5.5792 1.7947 -1.7947 5.5792 1.7947 1.7947 -5.5792" Properties=species:S:1:pos:R:3 pbc="T T T"
Be 1.7947 0.0000 2.7896
Be 0.0000 1.7947 2.7896
Tl 0.0000 0.0000 0.0000
Rh 0.0000 0.0000 4.1792
Rh 0.0000 0.0000 6.9792
```

ρ: 9.89 g/cm³
Volume: 14.4 Å³ per atom
Crystal system: tetragonal
DOS(E_F): 2.1 states/eV/cell

version w takes first place; second place is 173 meV per atom up.

Version w
Below is a relaxed structure of BeVRh, with properties calculated at the PBE level.

The structure in extended XYZ format:
```
6
Lattice="1.3882 -7.3578 0.0000 1.3882 7.3578 0.0000 0.0000 0.0000 3.4621" Properties=species:S:1:pos:R:3 pbc="T T T"
Be 1.3882 6.7699 2.5966
Be 1.3882 -6.7699 0.8655
V 1.3882 4.3230 2.5966
V 1.3882 -4.3230 0.8655
Rh 1.3882 1.3745 2.5966
Rh 1.3882 -1.3745 0.8655
```

ρ: 7.65 g/cm³
Volume: 11.8 Å³ per atom
Crystal system: orthorhombic
DOS(E_F): 4.4 states/eV/cell

Version x
Below is a relaxed structure of BeVRh, with properties calculated at the PBE level.

The structure in extended XYZ format:
```
6
Lattice="2.8156 0.0000 0.0000 1.3302 4.3199 0.0000 1.2754 0.9487 5.7970" Properties=species:S:1:pos:R:3 pbc="T T T"
Be 1.2637 1.9527 2.0338
Be 4.1575 3.3159 3.7631
V 2.7956 4.1201 5.5916
V 2.6256 1.1485 0.2053
Rh 2.7118 3.8613 1.9477
Rh 2.7094 1.4073 3.8492
```

ρ: 7.67 g/cm³
Volume: 11.8 Å³ per atom
Crystal system: triclinic
DOS(E_F): 3.6 states/eV/cell

version x takes first place; second place is 31 meV per atom up.

Version w
Below is a relaxed structure of Be3VRh, with properties calculated at the PBE level.

The structure in extended XYZ format:
```
5
Lattice="4.0916 0.0000 0.0000 0.0000 4.0916 0.0000 0.0000 0.0000 4.0916" Properties=species:S:1:pos:R:3 pbc="T T T"
Be 0.0000 0.0000 2.0458
Be 0.0000 2.0458 0.0000
Be 2.0458 0.0000 0.0000
V 2.0458 2.0458 2.0458
Rh 0.0000 0.0000 0.0000
```

ρ: 4.39 g/cm³
Volume: 13.7 Å³ per atom
Crystal system: cubic
DOS(E_F): 4.2 states/eV/cell

Version x
Below is a relaxed structure of Be3VRh, with properties calculated at the PBE level.

The structure in extended XYZ format:
```
5
Lattice="4.0039 0.0000 0.0000 0.0000 4.0039 0.0000 0.0000 0.0000 4.0039" Properties=species:S:1:pos:R:3 pbc="T T T"
Be 0.0000 0.0000 2.0019
Be 0.0000 2.0019 0.0000
Be 2.0019 0.0000 0.0000
V 0.0000 0.0000 0.0000
Rh 2.0019 2.0019 2.0019
```

ρ: 4.68 g/cm³
Volume: 12.8 Å³ per atom
Crystal system: cubic
DOS(E_F): 6.5 states/eV/cell

version w takes first place; second place is 944 meV per atom up.